Model 1:
First-principles (PBE-GGA) data for crystalline TmPuSc6 at its relaxed geometry, as listed in the Alexandria database.

magnetization: 0.760 μB per atom

```
data_TmPuSc6
_chemical_formula_sum 'Tm2 Pu2 Sc12'
_symmetry_space_group_name_H-M 'C m m m'
_symmetry_Int_Tables_number 65
_symmetry_space_group_name_Hall '-C 2 2'
_cell_length_a 9.3420
_cell_length_b 9.3686
_cell_length_c 4.5979
_cell_angle_alpha 90.00
_cell_angle_beta 90.00
_cell_angle_gamma 90.00
loop_
_atom_site_label
_atom_site_type_symbol
_atom_site_fract_x
_atom_site_fract_y
_atom_site_fract_z
Tm1 Tm 0.0000 0.0000 0.0000
Pu1 Pu 0.0000 0.5000 0.0000
Sc1 Sc 0.0000 0.2548 0.5000
Sc2 Sc 0.2447 0.5000 0.5000
Sc3 Sc 0.2500 0.2500 0.0000
```



Model 2:
First-principles (PBE-GGA) data for crystalline TmPuSc6 at its relaxed geometry, as listed in the Alexandria database.

magnetization: 0.871 μB per atom

```
data_TmPuSc6
_chemical_formula_sum 'Tm3 Pu3 Sc18'
_symmetry_space_group_name_H-M 'R -3 m'
_symmetry_Int_Tables_number 166
_symmetry_space_group_name_Hall '-R 3 2"'
_cell_length_a 10.6594
_cell_length_b 10.6594
_cell_length_c 6.2022
_cell_angle_alpha 90.00
_cell_angle_beta 90.00
_cell_angle_gamma 120.00
loop_
_atom_site_label
_atom_site_type_symbol
_atom_site_fract_x
_atom_site_fract_y
_atom_site_fract_z
Tm1 Tm 0.0000 0.0000 0.0000
Pu1 Pu 0.0000 0.0000 0.5000
Sc1 Sc 0.0084 0.5042 0.2507
```



Unit: eV/atom. Relative energies: model 1 0.000; model 2 0.170.



Model 1:
First-principles (PBE-GGA) data for crystalline TmPuSc3 at its relaxed geometry, as listed in the Alexandria database.

magnetization: 1.239 μB per atom

```
data_TmPuSc3
_chemical_formula_sum 'Tm2 Pu2 Sc6'
_symmetry_space_group_name_H-M 'P 63/m m c'
_symmetry_Int_Tables_number 194
_symmetry_space_group_name_Hall '-P 6c 2c'
_cell_length_a 7.3589
_cell_length_b 7.3589
_cell_length_c 5.6969
_cell_angle_alpha 90.00
_cell_angle_beta 90.00
_cell_angle_gamma 120.00
loop_
_atom_site_label
_atom_site_type_symbol
_atom_site_fract_x
_atom_site_fract_y
_atom_site_fract_z
Tm1 Tm 0.3333 0.6667 0.2500
Pu1 Pu 0.0000 0.0000 0.0000
Sc1 Sc 0.1974 0.3947 0.7500
```



Model 2:
First-principles (PBE-GGA) data for crystalline TmPuSc3 at its relaxed geometry, as listed in the Alexandria database.

magnetization: 1.217 μB per atom

```
data_TmPuSc3
_chemical_formula_sum 'Tm4 Pu4 Sc12'
_symmetry_space_group_name_H-M 'C 1 2/m 1'
_symmetry_Int_Tables_number 12
_symmetry_space_group_name_Hall '-C 2y'
_cell_length_a 15.7888
_cell_length_b 5.2778
_cell_length_c 6.4419
_cell_angle_alpha 90.00
_cell_angle_beta 106.50
_cell_angle_gamma 90.00
loop_
_atom_site_label
_atom_site_type_symbol
_atom_site_fract_x
_atom_site_fract_y
_atom_site_fract_z
Tm1 Tm 0.1925 0.0000 0.0555
Pu1 Pu 0.0984 0.5000 0.6513
Sc1 Sc 0.0110 0.0000 0.2612
Sc2 Sc 0.0927 0.5000 0.1524
Sc3 Sc 0.2091 0.0000 0.5674
```



Unit: eV/atom. Relative energies: model 1 0.249; model 2 0.000.



Model 1:
First-principles (PBE-GGA) data for crystalline YPu2Sc at its relaxed geometry, as listed in the Alexandria database.

magnetization: 3.116 μB per atom

```
data_YPu2Sc
_chemical_formula_sum 'Y1 Pu2 Sc1'
_symmetry_space_group_name_H-M 'P 4/m m m'
_symmetry_Int_Tables_number 123
_symmetry_space_group_name_Hall '-P 4 2'
_cell_length_a 3.3153
_cell_length_b 3.3153
_cell_length_c 9.9110
_cell_angle_alpha 90.00
_cell_angle_beta 90.00
_cell_angle_gamma 90.00
loop_
_atom_site_label
_atom_site_type_symbol
_atom_site_fract_x
_atom_site_fract_y
_atom_site_fract_z
Y1 Y 0.0000 0.0000 0.0000
Pu1 Pu 0.5000 0.5000 0.2633
Sc1 Sc 0.0000 0.0000 0.5000
```



Model 2:
First-principles (PBE-GGA) data for crystalline YPu2Sc at its relaxed geometry, as listed in the Alexandria database.

magnetization: 0.031 μB per atom

```
data_YPu2Sc
_chemical_formula_sum 'Y3 Pu6 Sc3'
_symmetry_space_group_name_H-M 'R 3 m'
_symmetry_Int_Tables_number 160
_symmetry_space_group_name_Hall 'R 3 -2"'
_cell_length_a 3.3954
_cell_length_b 3.3954
_cell_length_c 33.1505
_cell_angle_alpha 90.00
_cell_angle_beta 90.00
_cell_angle_gamma 120.00
loop_
_atom_site_label
_atom_site_type_symbol
_atom_site_fract_x
_atom_site_fract_y
_atom_site_fract_z
Y1 Y 0.0000 0.0000 0.0000
Pu1 Pu 0.0000 0.0000 0.4204
Pu2 Pu 0.0000 0.0000 0.5801
Sc1 Sc 0.0000 0.0000 0.1670
```



Unit: eV/atom. Relative energies: model 1 0.016; model 2 0.000.



Model 1:
First-principles (PBE-GGA) data for crystalline YPuSc4 at its relaxed geometry, as listed in the Alexandria database.

magnetization: 1.004 μB per atom

```
data_YPuSc4
_chemical_formula_sum 'Y4 Pu4 Sc16'
_symmetry_space_group_name_H-M 'C 1 2/c 1'
_symmetry_Int_Tables_number 15
_symmetry_space_group_name_Hall '-C 2yc'
_cell_length_a 8.2964
_cell_length_b 13.5849
_cell_length_c 5.8986
_cell_angle_alpha 90.00
_cell_angle_beta 109.41
_cell_angle_gamma 90.00
loop_
_atom_site_label
_atom_site_type_symbol
_atom_site_fract_x
_atom_site_fract_y
_atom_site_fract_z
Y1 Y 0.0000 0.0850 0.2500
Pu1 Pu 0.0000 0.4970 0.7500
Sc1 Sc 0.0943 0.3080 0.5346
Sc2 Sc 0.2113 0.1318 0.8757
```



Model 2:
First-principles (PBE-GGA) data for crystalline YPuSc4 at its relaxed geometry, as listed in the Alexandria database.

magnetization: 0.959 μB per atom

```
data_YPuSc4
_chemical_formula_sum 'Y1 Pu1 Sc4'
_symmetry_space_group_name_H-M 'P 6/m m m'
_symmetry_Int_Tables_number 191
_symmetry_space_group_name_Hall '-P 6 2'
_cell_length_a 5.2853
_cell_length_b 5.2853
_cell_length_c 6.3658
_cell_angle_alpha 90.00
_cell_angle_beta 90.00
_cell_angle_gamma 120.00
loop_
_atom_site_label
_atom_site_type_symbol
_atom_site_fract_x
_atom_site_fract_y
_atom_site_fract_z
Y1 Y 0.0000 0.0000 0.0000
Pu1 Pu 0.0000 0.0000 0.5000
Sc1 Sc 0.3333 0.6667 0.2527
```



Unit: eV/atom. Relative energies: model 1 0.043; model 2 0.000.



Model 1:
First-principles (PBE-GGA) data for crystalline PuSc2Zn at its relaxed geometry, as listed in the Alexandria database.

magnetization: 1.410 μB per atom

```
data_PuSc2Zn
_chemical_formula_sum 'Pu3 Sc6 Zn3'
_symmetry_space_group_name_H-M 'R -3 m'
_symmetry_Int_Tables_number 166
_symmetry_space_group_name_Hall '-R 3 2"'
_cell_length_a 3.1939
_cell_length_b 3.1939
_cell_length_c 31.8974
_cell_angle_alpha 90.00
_cell_angle_beta 90.00
_cell_angle_gamma 120.00
loop_
_atom_site_label
_atom_site_type_symbol
_atom_site_fract_x
_atom_site_fract_y
_atom_site_fract_z
Pu1 Pu 0.0000 0.0000 0.0000
Sc1 Sc 0.0000 0.0000 0.0978
Zn1 Zn 0.0000 0.0000 0.5000
```



Model 2:
First-principles (PBE-GGA) data for crystalline PuSc2Zn at its relaxed geometry, as listed in the Alexandria database.

magnetization: 1.485 μB per atom

```
data_PuSc2Zn
_chemical_formula_sum 'Pu1 Sc2 Zn1'
_symmetry_space_group_name_H-M 'P 4/m m m'
_symmetry_Int_Tables_number 123
_symmetry_space_group_name_Hall '-P 4 2'
_cell_length_a 3.2477
_cell_length_b 3.2477
_cell_length_c 8.2988
_cell_angle_alpha 90.00
_cell_angle_beta 90.00
_cell_angle_gamma 90.00
loop_
_atom_site_label
_atom_site_type_symbol
_atom_site_fract_x
_atom_site_fract_y
_atom_site_fract_z
Pu1 Pu 0.0000 0.0000 0.0000
Sc1 Sc 0.5000 0.5000 0.2857
Zn1 Zn 0.0000 0.0000 0.5000
```



Unit: eV/atom. Relative energies: model 1 0.268; model 2 0.000.



Model 1:
First-principles (PBE-GGA) data for crystalline PuSc2Zn at its relaxed geometry, as listed in the Alexandria database.

magnetization: 1.494 μB per atom

```
data_PuSc2Zn
_chemical_formula_sum 'Pu1 Sc2 Zn1'
_symmetry_space_group_name_H-M 'P 4/m m m'
_symmetry_Int_Tables_number 123
_symmetry_space_group_name_Hall '-P 4 2'
_cell_length_a 5.0194
_cell_length_b 5.0194
_cell_length_c 3.3766
_cell_angle_alpha 90.00
_cell_angle_beta 90.00
_cell_angle_gamma 90.00
loop_
_atom_site_label
_atom_site_type_symbol
_atom_site_fract_x
_atom_site_fract_y
_atom_site_fract_z
Pu1 Pu 0.0000 0.0000 0.0000
Sc1 Sc 0.0000 0.5000 0.5000
Zn1 Zn 0.5000 0.5000 0.0000
```



Model 2:
First-principles (PBE-GGA) data for crystalline PuSc2Zn at its relaxed geometry, as listed in the Alexandria database.

magnetization: 1.483 μB per atom

```
data_PuSc2Zn
_chemical_formula_sum 'Pu3 Sc6 Zn3'
_symmetry_space_group_name_H-M 'R 3 m'
_symmetry_Int_Tables_number 160
_symmetry_space_group_name_Hall 'R 3 -2"'
_cell_length_a 3.3009
_cell_length_b 3.3009
_cell_length_c 29.2617
_cell_angle_alpha 90.00
_cell_angle_beta 90.00
_cell_angle_gamma 120.00
loop_
_atom_site_label
_atom_site_type_symbol
_atom_site_fract_x
_atom_site_fract_y
_atom_site_fract_z
Pu1 Pu 0.0000 0.0000 0.0000
Sc1 Sc 0.0000 0.0000 0.5735
Sc2 Sc 0.0000 0.0000 0.7592
Zn1 Zn 0.0000 0.0000 0.1660
```



Unit: eV/atom. Relative energies: model 1 0.009; model 2 0.000.